! PBE-GGA RuPt3Cl, optimized geometry; values from VASP
! space-group type	Pm-3m (221)
! formation energy (no corrections)	6.7	eV/f.u.
! magnetic moment	2.77	Bohr magnetons per cell
! total energy	-4.52	eV per atom
&SYSTEM
  ibrav = 0, nat = 5, ntyp = 3
/
ATOMIC_SPECIES
Cl 35.45 Cl.upf
Pt 195.08 Pt.upf
Ru 101.07 Ru.upf
CELL_PARAMETERS angstrom
-0.624 -2.918 3.372
4.423 0.023 0.839
-0.561 3.429 2.863
ATOMIC_POSITIONS angstrom
Cl 0.000 0.000 0.000
Pt -0.312 -1.459 1.686
Pt -0.280 1.714 1.432
Ru 1.619 0.267 3.537
Pt 2.212 0.012 0.419

! PBE-GGA RuPtCl2, optimized geometry; values from VASP
! space-group type	Amm2 (38)
! formation energy (no corrections)	1.2	eV/f.u.
! magnetic moment	0.00	Bohr magnetons per cell
! total energy	-4.44	eV per atom
&SYSTEM
  ibrav = 0, nat = 4, ntyp = 3
/
ATOMIC_SPECIES
Pt 195.08 Pt.upf
Ru 101.07 Ru.upf
Cl 35.45 Cl.upf
CELL_PARAMETERS angstrom
-3.006 -1.556 -1.557
1.119 -4.256 2.093
-1.695 -1.151 4.422
ATOMIC_POSITIONS angstrom
Pt -0.311 -2.904 3.502
Ru -1.929 -4.770 4.033
Cl -0.536 -5.040 6.070
Cl -1.671 -2.360 1.126

! PBE-GGA RuPtCl2, optimized geometry; values from VASP
! space-group type	P4/mmm (123)
! formation energy (no corrections)	3.4	eV/f.u.
! magnetic moment	2.56	Bohr magnetons per cell
! total energy	-3.91	eV per atom
&SYSTEM
  ibrav = 0, nat = 4, ntyp = 3
/
ATOMIC_SPECIES
Cl 35.45 Cl.upf
Ru 101.07 Ru.upf
Pt 195.08 Pt.upf
CELL_PARAMETERS angstrom
2.958 0.000 0.000
0.000 2.958 0.000
0.000 0.000 8.259
ATOMIC_POSITIONS angstrom
Cl 0.000 0.000 7.845
Ru 1.479 1.479 6.194
Pt 1.479 1.479 2.065
Cl 0.000 0.000 4.544